No. 1
{"formula": "Ac2Tb3Co2", "functional": "PBE", "state": "relaxed", "magnetic_moment_mub_per_cell": 0.00, "dos_at_fermi_per_ev_atom": 1.0138, "energy_ev_per_atom": -5.27, "space_group": "C2/m (12)", "density_g_cm3": 8.8, "ef_mev_per_atom": -84, "crystal_system": "monoclinic", "lattice_angstrom": [[-3.7125, 0.8046, -0.3136], [-2.6982, -4.8032, -3.5443], [-3.6459, -5.5880, 5.6612]], "species": ["Ac", "Ac", "Tb", "Tb", "Tb", "Co", "Co"], "fractional_positions": [[0.1687, 0.4552, 0.2073], [0.8313, 0.5448, 0.7927], [0.5000, 0.0000, 0.0000], [0.3772, 0.8274, 0.4182], [0.6228, 0.1726, 0.5818], [0.1743, 0.8998, 0.7515], [0.8257, 0.1002, 0.2485]]}

---

No. 2
{"formula": "CsScTl", "functional": "PBE", "state": "relaxed", "magnetic_moment_mub_per_cell": 0.44, "relative_energy_mev_per_atom": 0.0, "dos_at_fermi_per_ev_atom": 0.9080, "energy_ev_per_atom": -3.23, "space_group": "P4/nmm (129)", "density_g_cm3": 5.4, "ef_mev_per_atom": -48, "crystal_system": "tetragonal", "lattice_angstrom": [[3.9409, 0.0000, 0.0000], [0.0000, 15.0813, 0.0000], [0.0000, 0.0000, 3.9396]], "species": ["Cs", "Cs", "Sc", "Sc", "Tl", "Tl"], "fractional_positions": [[0.0000, 0.8348, 0.5000], [0.5000, 0.1652, 0.0000], [0.0000, 0.5637, 0.5000], [0.5000, 0.4363, 0.0000], [0.0000, 0.3509, 0.5000], [0.5000, 0.6491, 0.0000]]}

---

No. 3
{"formula": "InWBr", "functional": "PBE", "state": "relaxed", "magnetic_moment_mub_per_cell": 0.00, "relative_energy_mev_per_atom": 173.0, "formation_energy_uncorrected_kj_per_mol_fu": 201.1, "dos_at_fermi_per_ev_atom": 0.2727, "energy_ev_per_atom": -5.09, "space_group": "I4mm (107)", "density_g_cm3": 9.3, "crystal_system": "tetragonal", "lattice_angstrom": [[-4.1264, 5.7168, -3.0188], [-4.8499, 2.2978, -5.4792], [2.8327, -4.5482, 5.4874]], "species": ["Br", "W", "In"], "fractional_positions": [[0.0421, 0.0421, 0.0000], [0.6535, 0.6535, 0.0000], [0.3044, 0.3044, 0.0000]]}

---

No. 4
{"formula": "TiBi2H", "functional": "PBE", "state": "relaxed", "magnetic_moment_mub_per_cell": 0.91, "relative_energy_mev_per_atom": 190.9, "dos_at_fermi_per_ev_atom": 1.2429, "energy_ev_per_atom": -4.20, "space_group": "Fm-3m (225)", "density_g_cm3": 9.1, "crystal_system": "cubic", "lattice_angstrom": [[0.0000, 3.4946, 3.4946], [3.4946, 0.0000, 3.4946], [3.4946, 3.4946, 0.0000]], "species": ["H", "Bi", "Bi", "Ti"], "fractional_positions": [[0.0000, 0.0000, 0.0000], [0.2500, 0.2500, 0.2500], [0.7500, 0.7500, 0.7500], [0.5000, 0.5000, 0.5000]]}

---

No. 5
{"formula": "Tb8CeTm4", "functional": "PBE", "state": "relaxed", "magnetic_moment_mub_per_cell": 0.00, "dos_at_fermi_per_ev_atom": 1.5422, "energy_ev_per_atom": -4.52, "space_group": "R-3m (166)", "density_g_cm3": 8.5, "ef_mev_per_atom": 163, "crystal_system": "trigonal", "lattice_angstrom": [[6.3791, -0.0004, -3.4417], [-4.1177, 5.9650, -0.0005], [1.1443, 0.7908, 9.7541]], "species": ["Tb", "Tb", "Tb", "Tb", "Tb", "Tb", "Tb", "Tb", "Ce", "Tm", "Tm", "Tm", "Tm"], "fractional_positions": [[0.5586, 0.7793, 0.3379], [0.4414, 0.2207, 0.6621], [0.5095, 0.2548, 0.3085], [0.9463, 0.2010, 0.6915], [0.4905, 0.7452, 0.6915], [0.9463, 0.7452, 0.6915], [0.0537, 0.2548, 0.3085], [0.0537, 0.7990, 0.3085], [0.0000, 0.5000, 0.5000], [0.0000, 0.0000, 0.0000], [0.0000, 0.5000, 0.0000], [0.5000, 0.5000, 0.0000], [0.5000, 0.0000, 0.0000]]}

---

No. 6
{"formula": "Nd2SmEr3Te6", "functional": "PBE", "state": "relaxed", "magnetic_moment_mub_per_cell": 0.00, "formation_energy_uncorrected_kj_per_mol_fu": -1524.7, "dos_at_fermi_per_ev_atom": 0.4837, "energy_ev_per_atom": -5.22, "space_group": "C2/m (12)", "density_g_cm3": 7.8, "crystal_system": "monoclinic", "lattice_angstrom": [[-3.8843, 1.8877, -0.4543], [-2.1657, -2.4590, 8.3002], [6.0600, 7.7513, 1.1496]], "species": ["Nd", "Nd", "Sm", "Er", "Er", "Er", "Te", "Te", "Te", "Te", "Te", "Te"], "fractional_positions": [[0.8326, 0.6656, 0.6651], [0.1674, 0.3344, 0.3349], [0.5000, 0.0000, 0.0000], [0.5000, 0.5000, 0.0000], [0.8318, 0.1663, 0.6637], [0.1682, 0.8337, 0.3363], [0.3316, 0.9261, 0.6632], [0.6628, 0.5918, 0.3257], [0.6684, 0.0739, 0.3368], [0.9962, 0.2555, 0.9925], [0.0038, 0.7445, 0.0075], [0.3372, 0.4082, 0.6743]]}

---

No. 7
{"formula": "Sc2BeCrSn", "functional": "PBE", "state": "relaxed", "magnetic_moment_mub_per_cell": 4.10, "dos_at_fermi_per_ev_atom": 1.1536, "energy_ev_per_atom": -5.17, "space_group": "P4/mmm (123)", "density_g_cm3": 3.5, "ef_mev_per_atom": 832, "crystal_system": "tetragonal", "lattice_angstrom": [[-3.5912, 4.0387, 0.0395], [-2.7155, -2.3900, -2.5125], [-2.2824, -2.0729, 4.4387]], "species": ["Sc", "Sc", "Cr", "Sn", "Be"], "fractional_positions": [[0.0000, 0.0000, 0.5000], [0.5000, 0.0000, 0.0000], [0.5000, 0.5000, 0.5000], [0.0000, 0.0000, 0.0000], [0.0000, 0.5000, 0.0000]]}

---

No. 8
{"formula": "Cs2SnBi2S6", "functional": "PBE", "state": "relaxed", "magnetic_moment_mub_per_cell": 0.00, "formation_energy_uncorrected_kj_per_mol_fu": -725.3, "energy_ev_per_atom": -4.16, "space_group": "C2/m (12)", "density_g_cm3": 4.7, "crystal_system": "monoclinic", "lattice_angstrom": [[-1.0974, 5.2605, -4.4580], [3.5597, -5.6186, -2.1237], [-7.9735, -3.4374, -0.1124]], "species": ["Cs", "Cs", "Sn", "Bi", "Bi", "S", "S", "S", "S", "S", "S"], "fractional_positions": [[0.8266, 0.1734, 0.0000], [0.1734, 0.8266, 0.0000], [0.0000, 0.0000, 0.5000], [0.3319, 0.6681, 0.5000], [0.6681, 0.3319, 0.5000], [0.7622, 0.7622, 0.6795], [0.0653, 0.3736, 0.6816], [0.2378, 0.2378, 0.3205], [0.3736, 0.0653, 0.6816], [0.9347, 0.6264, 0.3184], [0.6264, 0.9347, 0.3184]]}

---

No. 9
{"formula": "ZrMnPt2", "functional": "PBE", "state": "relaxed", "magnetic_moment_mub_per_cell": 6.01, "dos_at_fermi_per_ev_atom": 0.2934, "energy_ev_per_atom": -7.66, "space_group": "I-42d (122)", "density_g_cm3": 12.3, "ef_mev_per_atom": -214, "crystal_system": "tetragonal", "lattice_angstrom": [[-3.7412, 0.0824, -1.4340], [1.4230, -0.3305, -3.7317], [-1.5978, -9.1074, -1.9544]], "species": ["Mn", "Mn", "Zr", "Zr", "Pt", "Pt", "Pt", "Pt"], "fractional_positions": [[0.5000, 0.5000, 0.0000], [0.2500, 0.7500, 0.5000], [0.0000, 0.0000, 0.0000], [0.7500, 0.2500, 0.5000], [0.6082, 0.1250, 0.2500], [0.1418, 0.6250, 0.2500], [0.3750, 0.3918, 0.7500], [0.8750, 0.8582, 0.7500]]}